(1)
Density functional theory data (PBE) for a geometry-optimized Tl5Bi4Pb structure.

```
10
Lattice="3.418 0.000 0.000 0.000 3.418 0.000 0.000 0.000 27.182" Properties=species:S:1:pos:R:3 pbc="T T T"
Tl 0.000 0.000 0.000
Tl 0.000 0.000 5.439
Tl 0.000 0.000 10.853
Tl 0.000 0.000 16.328
Tl 0.000 0.000 21.743
Bi 1.709 1.709 2.681
Bi 1.709 1.709 8.181
Bi 1.709 1.709 19.001
Bi 1.709 1.709 24.501
Pb 1.709 1.709 13.591
```

* energy of formation from the pure elements: 0.006 eV per atom

=====

(2)
Density functional theory data (PBE) for a geometry-optimized Tl5Bi2Pb structure.

```
16
Lattice="7.185 0.000 0.000 0.000 14.401 0.000 0.000 0.000 4.886" Properties=species:S:1:pos:R:3 pbc="T T T"
Tl 0.000 0.000 0.000
Tl 0.061 3.623 0.000
Tl 1.721 12.577 2.443
Tl 1.871 5.376 2.443
Tl 3.531 10.823 0.000
Tl 3.592 7.201 0.000
Tl 3.654 3.578 0.000
Tl 5.314 9.025 2.443
Tl 5.463 1.824 2.443
Tl 7.123 10.779 0.000
Bi 1.712 8.952 2.443
Bi 1.881 1.751 2.443
Bi 5.304 12.650 2.443
Bi 5.473 5.450 2.443
Pb 0.000 7.201 0.000
Pb 3.592 0.000 0.000
```

* energy of formation from the pure elements: -0.027 eV per atom

=====

(3)
Density functional theory data (PBE) for a geometry-optimized Tl2BiPb structure.

```
4
Lattice="0.000 4.006 4.006 4.006 0.000 4.006 4.006 4.006 0.000" Properties=species:S:1:pos:R:3 pbc="T T T"
Tl 0.000 0.000 0.000
Tl 2.003 2.003 2.003
Bi 6.008 6.008 6.008
Pb 4.006 4.006 4.006
```

* offset from the most stable computed form: 10.2 meV per atom
* energy of formation from the pure elements: -0.004 eV per atom

=====

(4)
Density functional theory data (PBE) for a geometry-optimized TlBi5Pb6 structure.

```
12
Lattice="-2.173 5.365 8.185 2.173 -5.365 8.185 2.173 5.365 -8.185" Properties=species:S:1:pos:R:3 pbc="T T T"
Tl 0.000 0.000 0.000
Bi 2.173 0.000 2.813
Bi 0.000 0.000 5.460
Bi 0.000 5.365 0.000
Bi 0.000 0.000 10.909
Bi 0.000 5.365 5.372
Pb 2.173 -2.723 5.462
Pb 2.173 2.683 0.000
Pb 0.000 2.642 2.722
Pb 2.173 2.723 5.462
Pb 0.000 2.682 8.185
Pb 0.000 8.088 2.722
```

* offset from the most stable computed form: 0.0 meV per atom
* energy of formation from the pure elements: 0.046 eV per atom

=====

(5)
Density functional theory data (PBE) for a geometry-optimized Tl2Bi5Pb4 structure.

```
11
Lattice="5.905 -3.506 0.000 5.905 3.506 0.000 -0.228 0.000 8.873" Properties=species:S:1:pos:R:3 pbc="T T T"
Tl 1.533 0.000 1.207
Tl 10.050 0.000 7.665
Bi -0.114 0.000 4.436
Bi 4.540 1.709 1.906
Bi 7.043 1.709 6.967
Bi 4.540 -1.709 1.906
Bi 7.043 -1.709 6.967
Pb 3.211 0.000 4.462
Pb 4.138 0.000 7.680
Pb 7.444 0.000 1.192
Pb 8.371 0.000 4.411
```

* energy of formation from the pure elements: 0.055 eV per atom

=====

(6)
Density functional theory data (PBE) for a geometry-optimized TlBi2Pb3 structure.

```
6
Lattice="2.889 -5.574 0.000 2.889 5.574 0.000 0.000 0.000 5.919" Properties=species:S:1:pos:R:3 pbc="T T T"
Tl 0.000 0.000 0.000
Bi 2.889 1.972 0.000
Bi 2.889 -1.972 0.000
Pb 2.889 3.701 2.960
Pb 2.889 0.000 2.960
Pb 2.889 -3.701 2.960
```

* energy of formation from the pure elements: 0.030 eV per atom

=====

(7)
Density functional theory data (PBE) for a geometry-optimized Tl3BiPb3 structure.

```
14
Lattice="3.520 2.032 11.167 -3.520 2.032 11.167 0.000 -4.065 11.167" Properties=species:S:1:pos:R:3 pbc="T T T"
Tl 0.000 -2.010 9.818
Tl -1.740 1.005 9.818
Tl -1.740 -1.005 23.682
Tl 1.740 1.005 9.818
Tl 1.740 -1.005 23.682
Tl 0.000 2.010 23.682
Bi 0.000 0.000 6.917
Bi 0.000 0.000 26.583
Pb -1.744 -1.007 18.171
Pb 0.000 -2.014 15.329
Pb -1.744 1.007 15.329
Pb 1.744 -1.007 18.171
Pb 0.000 2.014 18.171
Pb 1.744 1.007 15.329
```

* offset from the most stable computed form: 0.0 meV per atom
* energy of formation from the pure elements: 0.050 eV per atom

=====

(8)
Density functional theory data (PBE) for a geometry-optimized Tl2BiPb6 structure.

```
9
Lattice="3.483 0.000 0.000 -1.742 3.017 0.000 0.000 0.000 27.018" Properties=species:S:1:pos:R:3 pbc="T T T"
Tl 0.000 0.000 4.575
Tl 0.000 0.000 22.443
Bi 1.742 1.006 13.509
Pb 0.000 0.000 10.502
Pb 0.000 0.000 16.517
Pb 1.742 1.006 1.643
Pb 1.742 1.006 7.554
Pb 1.742 1.006 19.464
Pb 1.742 1.006 25.376
```

* offset from the most stable computed form: 0.0 meV per atom
* energy of formation from the pure elements: 0.024 eV per atom

=====

(9)
Density functional theory data (PBE) for a geometry-optimized Tl3Bi2Pb4 structure.

```
9
Lattice="6.074 0.000 0.000 2.883 5.400 0.000 3.010 1.553 8.697" Properties=species:S:1:pos:R:3 pbc="T T T"
Tl 0.000 0.000 0.000
Tl 4.861 5.318 2.899
Tl 7.107 1.635 5.798
Bi 4.022 3.453 5.832
Bi 7.945 3.500 2.865
Pb 5.987 3.382 8.680
Pb 7.023 5.185 5.732
Pb 4.945 1.769 2.965
Pb 5.981 3.572 0.016
```

* offset from the most stable computed form: 8.5 meV per atom
* energy of formation from the pure elements: 0.006 eV per atom

=====

(10)
Density functional theory data (PBE) for a geometry-optimized Tl2BiPb structure.

```
4
Lattice="0.000 3.986 3.986 3.986 0.000 3.986 3.986 3.986 0.000" Properties=species:S:1:pos:R:3 pbc="T T T"
Tl 1.993 1.993 1.993
Tl 5.979 5.979 5.979
Bi 0.000 0.000 0.000
Pb 3.986 3.986 3.986
```

* offset from the most stable computed form: 69.3 meV per atom
* energy of formation from the pure elements: 0.055 eV per atom

=====

(11)
Density functional theory data (PBE) for a geometry-optimized TlBi3Pb6 structure.

```
20
Lattice="5.783 -7.793 0.000 5.783 7.793 0.000 0.000 0.000 7.609" Properties=species:S:1:pos:R:3 pbc="T T T"
Tl 5.783 5.082 3.804
Tl 5.783 -5.082 0.000
Bi 2.292 1.315 2.611
Bi 2.292 -1.315 6.416
Bi 5.783 1.806 4.543
Bi 5.783 -1.806 0.739
Bi 9.274 1.315 2.611
Bi 9.274 -1.315 6.416
Pb 2.892 3.366 5.199
Pb 5.783 7.235 1.192
Pb 5.783 4.076 7.225
Pb 4.103 1.128 7.494
Pb 4.103 -1.128 3.689
Pb 2.892 -3.366 1.395
Pb 8.674 3.366 5.199
Pb 7.464 1.128 7.494
Pb 7.464 -1.128 3.689
Pb 5.783 -4.076 3.420
Pb 5.783 -7.235 4.996
Pb 8.674 -3.366 1.395
```

* offset from the most stable computed form: 29.3 meV per atom
* energy of formation from the pure elements: 0.071 eV per atom

=====

(12)
Density functional theory data (PBE) for a geometry-optimized Tl2Bi4Pb3 structure.

```
9
Lattice="4.500 0.000 0.000 2.232 5.962 0.000 2.210 2.324 10.861" Properties=species:S:1:pos:R:3 pbc="T T T"
Tl 2.234 3.045 2.943
Tl 6.708 5.241 7.919
Bi 2.224 1.662 6.548
Bi 4.463 5.593 1.899
Bi 4.479 2.693 8.963
Bi 6.718 6.625 4.313
Pb 4.453 6.656 10.425
Pb 4.471 4.143 5.431
Pb 4.489 1.630 0.436
```

* offset from the most stable computed form: 0.0 meV per atom
* energy of formation from the pure elements: 0.022 eV per atom

=====

> Which value of energy of formation from the pure elements does entry 12 give?

0.022 eV per atom

=====

> Look up the energy of formation from the pure elements of the second one.

-0.027 eV per atom